[1]
ZrSc5: optimized geometry, PBE.

a b c (Å): 5.975 5.975 5.975
angles (deg): 60.00 60.00 60.00
Element x y z (fractional)
Zr (0.000, 0.000, 0.000)
Sc (0.123, 0.626, 0.626)
Sc (0.250, 0.250, 0.250)
Sc (0.626, 0.123, 0.626)
Sc (0.626, 0.626, 0.123)
Sc (0.626, 0.626, 0.626)

Spin magnetization in μB/cell: 2.65
DFT formation energy in meV per atom: 307
SG: No. 216
Total energy in eV/atom: -6.3938


[2]
Fe4CoIr5: optimized geometry, PBE.

a b c (Å): 2.673 2.673 18.161
angles (deg): 90.00 90.00 90.00
Element x y z (fractional)
Fe (0.000, 0.000, 0.100)
Fe (0.000, 0.000, 0.301)
Fe (0.000, 0.000, 0.699)
Fe (0.000, 0.000, 0.900)
Co (0.000, 0.000, 0.500)
Ir (0.500, 0.500, 0.000)
Ir (0.500, 0.500, 0.201)
Ir (0.500, 0.500, 0.402)
Ir (0.500, 0.500, 0.598)
Ir (0.500, 0.500, 0.799)

Spin magnetization in μB/cell: 9.53
DFT formation energy in meV per atom: -22
SG: No. 123
Total energy in eV/atom: -8.5482


[3]
BaTaNF2: optimized geometry, PBE.

a b c (Å): 4.653 4.653 8.654
angles (deg): 90.00 90.00 90.00
Element x y z (fractional)
Ba (0.000, 0.000, 0.000)
Ta (0.000, 0.000, 0.500)
N (0.500, 0.500, 0.500)
F (0.000, 0.500, 0.000)
F (0.500, 0.000, 0.000)

Spin magnetization in μB/cell: 0.00
SG: No. 123
Total energy in eV/atom: -4.8502


[4]
Li2ThGaRh4: optimized geometry, PBE.

a b c (Å): 7.704 7.704 7.704
angles (deg): 33.41 33.41 33.41
Element x y z (fractional)
Li (0.243, 0.243, 0.243)
Li (0.757, 0.757, 0.757)
Th (0.000, 0.000, 0.000)
Ga (0.500, 0.500, 0.500)
Rh (0.128, 0.128, 0.128)
Rh (0.383, 0.383, 0.383)
Rh (0.617, 0.617, 0.617)
Rh (0.872, 0.872, 0.872)

Spin magnetization in μB/cell: 0.00
DFT formation energy in meV per atom: -609
SG: No. 166
Total energy in eV/atom: -6.0689


[5]
CeDy5Ho2Th: optimized geometry, PBE.

a b c (Å): 10.994 10.994 9.697
angles (deg): 90.00 90.00 150.00
Element x y z (fractional)
Ce (0.191, 0.809, 0.500)
Ce (0.809, 0.191, 0.000)
Dy (0.014, 0.986, 0.505)
Dy (0.271, 0.729, 0.197)
Dy (0.303, 0.697, 0.814)
Dy (0.396, 0.604, 0.482)
Dy (0.469, 0.531, 0.782)
Dy (0.531, 0.469, 0.282)
Dy (0.604, 0.396, 0.982)
Dy (0.697, 0.303, 0.314)
Dy (0.729, 0.271, 0.697)
Dy (0.986, 0.014, 0.005)
Ho (0.115, 0.885, 0.194)
Ho (0.128, 0.872, 0.806)
Ho (0.872, 0.128, 0.306)
Ho (0.885, 0.115, 0.694)
Th (0.407, 0.593, 0.100)
Th (0.593, 0.407, 0.600)

Spin magnetization in μB/cell: 1.38
DFT formation energy in meV per atom: 185
SG: No. 36
Total energy in eV/atom: -4.8726


[6]
SrRhCl: optimized geometry, PBE.

a b c (Å): 3.788 3.788 6.022
angles (deg): 90.00 90.00 120.00
Element x y z (fractional)
Sr (0.000, 0.000, 0.000)
Rh (0.333, 0.667, 0.645)
Cl (0.667, 0.333, 0.329)

Spin magnetization in μB/cell: 0.56
SG: No. 156
Total energy in eV/atom: -3.9316


The highest spin magnetization belongs to which entry? Fe4CoIr5


Repeat the sixth record exactly.
SrRhCl: optimized geometry, PBE.

a b c (Å): 3.788 3.788 6.022
angles (deg): 90.00 90.00 120.00
Element x y z (fractional)
Sr (0.000, 0.000, 0.000)
Rh (0.333, 0.667, 0.645)
Cl (0.667, 0.333, 0.329)

Spin magnetization in μB/cell: 0.56
SG: No. 156
Total energy in eV/atom: -3.9316


Among the records above, which one has the lowest total energy? Fe4CoIr5